1.
# Rb12MgCl4O4, optimized geometry, DFT PBE-GGA
data_Rb12MgCl4O4
_chemical_formula_sum 'Rb12 Mg1 Cl4 O4'
_space_group_name_H-M_alt 'P 1'
_space_group_IT_number 1
_space_group_name_Hall 'P 1'
_cell_length_a 7.886
_cell_length_b 7.907
_cell_length_c 12.730
_cell_angle_alpha 77.29
_cell_angle_beta 84.62
_cell_angle_gamma 89.37
loop_
_atom_site_label
_atom_site_type_symbol
_atom_site_fract_x
_atom_site_fract_y
_atom_site_fract_z
_atom_site_occupancy
Rb1 Rb 0.000 0.000 0.000 1
Rb2 Rb 0.029 0.532 0.923 1
Rb3 Rb 0.233 0.261 0.202 1
Rb4 Rb 0.329 0.259 0.769 1
Rb5 Rb 0.380 0.644 0.440 1
Rb6 Rb 0.484 0.961 0.036 1
Rb7 Rb 0.519 0.493 0.969 1
Rb8 Rb 0.593 0.246 0.465 1
Rb9 Rb 0.741 0.886 0.781 1
Rb10 Rb 0.788 0.555 0.197 1
Rb11 Rb 0.873 0.865 0.347 1
Rb12 Rb 0.932 0.493 0.567 1
Mg1 Mg 0.145 0.102 0.534 1
Cl1 Cl 0.191 0.695 0.201 1
Cl2 Cl 0.322 0.834 0.818 1
Cl3 Cl 0.649 0.167 0.208 1
Cl4 Cl 0.757 0.293 0.805 1
O1 O 0.243 0.259 0.995 1
O2 O 0.252 0.305 0.549 1
O3 O 0.709 0.572 0.414 1
O4 O 0.761 0.743 0.985 1
# crystal system = triclinic
# M_tot = 0.1 μB per cell
# formation energy without anion corrections = -26.47 eV per formula unit

---

2.
# Rb12MgCl4O4, optimized geometry, DFT PBE-GGA
data_Rb12MgCl4O4
_chemical_formula_sum 'Rb12 Mg1 Cl4 O4'
_space_group_name_H-M_alt 'P 1 m 1'
_space_group_IT_number 6
_space_group_name_Hall 'P -2y'
_cell_length_a 7.738
_cell_length_b 10.937
_cell_length_c 8.364
_cell_angle_alpha 90.00
_cell_angle_beta 90.87
_cell_angle_gamma 90.00
loop_
_atom_site_label
_atom_site_type_symbol
_atom_site_fract_x
_atom_site_fract_y
_atom_site_fract_z
_atom_site_occupancy
Rb1 Rb 0.000 0.000 0.000 1
Rb2 Rb 0.127 0.500 0.057 1
Rb3 Rb 0.315 0.224 0.287 1
Rb4 Rb 0.407 0.241 0.844 1
Rb5 Rb 0.505 0.500 0.497 1
Rb6 Rb 0.637 0.000 0.520 1
Rb7 Rb 0.809 0.269 0.238 1
Rb8 Rb 0.890 0.298 0.717 1
Mg1 Mg 0.184 0.000 0.623 1
Cl1 Cl 0.019 0.000 0.370 1
Cl2 Cl 0.062 0.500 0.452 1
Cl3 Cl 0.560 0.500 0.075 1
Cl4 Cl 0.563 0.000 0.101 1
O1 O 0.075 0.256 0.006 1
O2 O 0.577 0.253 0.542 1
# crystal system = monoclinic
# M_tot = 0.2 μB per cell
# formation energy without anion corrections = -24.51 eV per formula unit

---

- Which formula does entry 2 have?
  Rb12MgCl4O4

---

- Which of these has the lowest formation energy without anion corrections?
  number 1